1.
# BeTlCrRu2, optimized geometry, DFT PBE
# DFT formation energy = 2.704 eV per atom
# Density = 6.6 g/cm3
# Uncorrected energy = -4.15 eV/atom
data_BeTlCrRu2
_cell_length_a 4.954
_cell_length_b 4.954
_cell_length_c 4.787
_cell_angle_alpha 90.00
_cell_angle_beta 90.00
_cell_angle_gamma 90.00
_symmetry_space_group_name_H-M 'P 4/m m m'
_symmetry_Int_Tables_number 123
_symmetry_space_group_name_Hall '-P 4 2'
loop_
_atom_site_label
_atom_site_type_symbol
_atom_site_fract_x
_atom_site_fract_y
_atom_site_fract_z
Be1 Be 0.000 0.000 0.000
Tl1 Tl 0.500 0.500 0.500
Cr1 Cr 0.500 0.500 0.000
Ru1 Ru 0.000 0.500 0.500

2.
# Na9Tl2Hg, optimized geometry, DFT PBE
# DFT formation energy = -0.104 eV per atom
# Density = 3.8 g/cm3
# Uncorrected energy = -1.51 eV/atom
data_Na9Tl2Hg
_cell_length_a 6.042
_cell_length_b 6.946
_cell_length_c 9.451
_cell_angle_alpha 69.12
_cell_angle_beta 76.15
_cell_angle_gamma 88.63
_symmetry_space_group_name_H-M 'P -1'
_symmetry_Int_Tables_number 2
_symmetry_space_group_name_Hall '-P 1'
loop_
_atom_site_label
_atom_site_type_symbol
_atom_site_fract_x
_atom_site_fract_y
_atom_site_fract_z
Na1 Na 0.000 0.000 0.000
Na2 Na 0.201 0.338 0.334
Na3 Na 0.267 0.409 0.666
Na4 Na 0.270 0.911 0.666
Na5 Na 0.498 0.251 0.001
Tl1 Tl 0.240 0.840 0.331
Hg1 Hg 0.000 0.500 0.000

3.
# Nb8Ge2B, optimized geometry, DFT PBE
# DFT formation energy = -0.173 eV per atom
# Density = 8.0 g/cm3
# Uncorrected energy = -8.94 eV/atom
data_Nb8Ge2B
_cell_length_a 15.386
_cell_length_b 4.574
_cell_length_c 5.629
_cell_angle_alpha 90.00
_cell_angle_beta 110.41
_cell_angle_gamma 90.00
_symmetry_space_group_name_H-M 'C 1 2/m 1'
_symmetry_Int_Tables_number 12
_symmetry_space_group_name_Hall '-C 2y'
loop_
_atom_site_label
_atom_site_type_symbol
_atom_site_fract_x
_atom_site_fract_y
_atom_site_fract_z
Nb1 Nb 0.000 0.000 0.238
Nb2 Nb 0.088 0.500 0.706
Nb3 Nb 0.139 0.500 0.269
Nb4 Nb 0.219 0.000 0.112
Ge1 Ge 0.169 0.000 0.600
B1 B 0.000 0.500 0.000

4.
# YMgP2, optimized geometry, DFT PBE
# DFT formation energy = -0.797 eV per atom
# Density = 3.6 g/cm3
# Uncorrected energy = -5.52 eV/atom
data_YMgP2
_cell_length_a 10.458
_cell_length_b 3.815
_cell_length_c 4.070
_cell_angle_alpha 90.00
_cell_angle_beta 98.04
_cell_angle_gamma 90.00
_symmetry_space_group_name_H-M 'C 1 m 1'
_symmetry_Int_Tables_number 8
_symmetry_space_group_name_Hall 'C -2y'
loop_
_atom_site_label
_atom_site_type_symbol
_atom_site_fract_x
_atom_site_fract_y
_atom_site_fract_z
Y1 Y 0.000 0.000 0.000
Mg1 Mg 0.241 0.500 0.469
P1 P 0.278 0.000 0.004
P2 P 0.494 0.000 0.489

5.
# CaYRe2, optimized geometry, DFT PBE
# DFT formation energy = 0.781 eV per atom
# Density = 10.5 g/cm3
# Uncorrected energy = -7.56 eV/atom
data_CaYRe2
_cell_length_a 2.839
_cell_length_b 2.839
_cell_length_c 9.848
_cell_angle_alpha 90.00
_cell_angle_beta 90.00
_cell_angle_gamma 90.00
_symmetry_space_group_name_H-M 'P 4/m m m'
_symmetry_Int_Tables_number 123
_symmetry_space_group_name_Hall '-P 4 2'
loop_
_atom_site_label
_atom_site_type_symbol
_atom_site_fract_x
_atom_site_fract_y
_atom_site_fract_z
Ca1 Ca 0.000 0.000 0.000
Y1 Y 0.000 0.000 0.500
Re1 Re 0.500 0.500 0.254

6.
# Hf3OsO, optimized geometry, DFT PBE
# Raw formation energy = -0.805 eV per atom
# Density = 14.0 g/cm3
# Uncorrected energy = -10.02 eV/atom
data_Hf3OsO
_cell_length_a 5.9692
_cell_length_b 5.9692
_cell_length_c 17.1259
_cell_angle_alpha 90.00
_cell_angle_beta 90.00
_cell_angle_gamma 120.00
_symmetry_space_group_name_H-M 'R 3 2'
_symmetry_Int_Tables_number 155
_symmetry_space_group_name_Hall 'R 3 2"'
loop_
_atom_site_label
_atom_site_type_symbol
_atom_site_fract_x
_atom_site_fract_y
_atom_site_fract_z
Hf1 Hf 0.0042 0.5005 0.4098
Os1 Os 0.0000 0.0000 0.3807
O1 O 0.0000 0.0000 0.1665

7.
# HgRu2F11, optimized geometry, DFT PBE
# Raw formation energy = -1.602 eV per atom
# Density = 4.8 g/cm3
# Uncorrected energy = -4.42 eV/atom
data_HgRu2F11
_cell_length_a 8.978
_cell_length_b 9.034
_cell_length_c 10.426
_cell_angle_alpha 90.00
_cell_angle_beta 90.00
_cell_angle_gamma 90.00
_symmetry_space_group_name_H-M 'I b a m'
_symmetry_Int_Tables_number 72
_symmetry_space_group_name_Hall '-I 2 2c'
loop_
_atom_site_label
_atom_site_type_symbol
_atom_site_fract_x
_atom_site_fract_y
_atom_site_fract_z
Hg1 Hg 0.000 0.000 0.250
Ru1 Ru 0.161 0.341 0.000
F1 F 0.000 0.500 0.000
F2 F 0.056 0.234 0.131
F3 F 0.193 0.303 0.500
F4 F 0.232 0.052 0.370

8.
# NaMn2InRu, optimized geometry, DFT PBE
# DFT formation energy = 1.561 eV per atom
# Density = 5.9 g/cm3
# Uncorrected energy = -4.77 eV/atom
data_NaMn2InRu
_cell_length_a 4.590
_cell_length_b 4.590
_cell_length_c 4.648
_cell_angle_alpha 90.00
_cell_angle_beta 90.00
_cell_angle_gamma 90.00
_symmetry_space_group_name_H-M 'P 4/m m m'
_symmetry_Int_Tables_number 123
_symmetry_space_group_name_Hall '-P 4 2'
loop_
_atom_site_label
_atom_site_type_symbol
_atom_site_fract_x
_atom_site_fract_y
_atom_site_fract_z
Na1 Na 0.000 0.000 0.000
Mn1 Mn 0.000 0.500 0.000
In1 In 0.500 0.500 0.500
Ru1 Ru 0.000 0.000 0.500

Please write out number 7 again, unchanged.
# HgRu2F11, optimized geometry, DFT PBE
# Raw formation energy = -1.602 eV per atom
# Density = 4.8 g/cm3
# Uncorrected energy = -4.42 eV/atom
data_HgRu2F11
_cell_length_a 8.978
_cell_length_b 9.034
_cell_length_c 10.426
_cell_angle_alpha 90.00
_cell_angle_beta 90.00
_cell_angle_gamma 90.00
_symmetry_space_group_name_H-M 'I b a m'
_symmetry_Int_Tables_number 72
_symmetry_space_group_name_Hall '-I 2 2c'
loop_
_atom_site_label
_atom_site_type_symbol
_atom_site_fract_x
_atom_site_fract_y
_atom_site_fract_z
Hg1 Hg 0.000 0.000 0.250
Ru1 Ru 0.161 0.341 0.000
F1 F 0.000 0.500 0.000
F2 F 0.056 0.234 0.131
F3 F 0.193 0.303 0.500
F4 F 0.232 0.052 0.370

Which of these has the highest uncorrected energy?
Na9Tl2Hg

Among the records above, which one has the lowest density?
YMgP2